LaBeZnIrS PBE relaxed; ρ = 7.28 Mg/m³; total energy = -5.15 eV/atom; E above lowest polymorph = 218 meV per atom; ΔE_f (raw) = -0.563 eV per atom
1.0
3.4632 0.0000 0.0000
0.0000 3.5217 0.0000
0.0000 0.0000 8.1893
S La Zn Be Ir
1 1 1 1 1
direct
0.5000 0.5000 0.3849
0.0000 0.0000 0.2116
0.5000 0.5000 0.6688
0.5000 0.0000 0.8880
0.0000 0.5000 0.8999

LaBeZnIrS PBE relaxed; ρ = 7.18 Mg/m³; total energy = -5.24 eV/atom; E above lowest polymorph = 124 meV per atom; ΔE_f (raw) = -0.658 eV per atom
1.0
6.7131 0.0000 -0.0065
0.0000 4.0392 0.0000
-4.9037 0.0000 7.4665
La S Ir Zn Be
2 2 2 2 2
direct
0.3543 0.5000 0.4120
0.3543 0.0000 0.9120
0.2175 0.0000 0.1560
0.2175 0.5000 0.6560
0.8759 0.0000 0.1749
0.8759 0.5000 0.6749
0.8024 0.0000 0.4272
0.8024 0.5000 0.9272
0.8029 0.0000 0.7258
0.8029 0.5000 0.2258

LaBeZnIrS PBE relaxed; ρ = 7.27 Mg/m³; total energy = -5.23 eV/atom; E above lowest polymorph = 136 meV per atom; ΔE_f (raw) = -0.645 eV per atom
1.0
-5.2308 1.7909 1.5091
0.6804 -1.2983 3.8993
4.4234 7.0733 1.5833
Zn Be Ir S La
2 2 2 2 2
direct
0.1493 0.0000 0.5660
0.1493 0.5000 0.0660
0.2709 0.0000 0.2670
0.2709 0.5000 0.7670
0.2378 0.5000 0.3740
0.2378 0.0000 0.8740
0.5449 0.5000 0.6182
0.5449 0.0000 0.1182
0.7441 0.0000 0.8317
0.7441 0.5000 0.3317

Q: Which formula does entry 1 have?
A: LaBeZnIrS

Q: The lowest ΔE_f (raw) belongs to which entry?
A: number 2

Q: Look up the ρ of the second one.
A: 7.18 Mg/m³